[1]
Material: PdPt
Method: DFT, PBE-GGA
State: relaxed

Energy relative to the elements (eV per atom): 1.14
N(E_F) (states/eV per cell): 14.44
Volume (Å³/f.u.): 49

Lattice parameters (Å, degrees): 5.7976 5.7976 5.7976 90.00 90.00 90.00
Space group F-43m (No. 216)
Symmetry-distinct sites (fractional):
1 Pd 0.0000 0.0000 0.0000 [4 per cell]
2 Pt 0.2500 0.2500 0.7500 [4 per cell]

---

[2]
Material: LaBeAs2
Method: DFT, PBE-GGA
State: relaxed

Energy relative to the elements (eV per atom): -0.22
N(E_F) (states/eV per cell): 3.27
Volume (Å³/f.u.): 80

Lattice parameters (Å, degrees): 3.5986 3.5986 6.2047 90.00 90.00 90.00
Space group P4/mmm (No. 123)
Symmetry-distinct sites (fractional):
1 La 0.0000 0.0000 0.0000 [1 per cell]
2 Be 0.0000 0.0000 0.5000 [1 per cell]
3 As 0.5000 0.5000 0.3015 [2 per cell]

---

Which of these has the lowest N(E_F)? LaBeAs2

---

Number 1 is which compound? PdPt

---

Look up the volume of the second one. 80 Å³/f.u.

---

Among the records above, which one has the lowest volume? PdPt